# 1
This record from Alexandria via LeMat-Bulk describes a geometry-optimized NiB4Mo structure. The functional is PBE.

Cell: 5.965 10.952 3.107 Å, 90.00 90.00 90.00°
Space group Pbam (No. 55)
One atom of each set of equivalent atoms:
Ni (0.135, 0.089, 0.000)
B (0.008, 0.797, 0.500)
B (0.118, 0.943, 0.500)
B (0.136, 0.530, 0.500)
B (0.211, 0.692, 0.500)
Mo (0.084, 0.365, 0.000)

Output
Electronic total energy = -174.1 eV per cell

# 2
This record from Alexandria via LeMat-Bulk describes a geometry-optimized NiB2Mo structure. The functional is PBE.

Cell: 3.577 3.577 13.464 Å, 90.00 90.00 90.00°
Space group I4_1/amd (No. 141, origin choice 2)
One atom of each set of equivalent atoms:
Ni (0.000, 0.250, 0.375)
B (0.000, 0.000, 0.500)
Mo (0.000, 0.250, 0.875)

Output
Polymorph energy (0 for the lowest one) = 760 meV per atom

# 3
This record from Alexandria via LeMat-Bulk describes a geometry-optimized NiB2Mo structure. The functional is PBE.

Cell: 5.313 3.127 9.075 Å, 90.00 90.00 90.00°
Space group Pnma (No. 62)
One atom of each set of equivalent atoms:
Ni (0.162, 0.250, 0.051)
B (0.028, 0.250, 0.836)
B (0.191, 0.250, 0.665)
Mo (0.136, 0.250, 0.337)

Output
Polymorph energy (0 for the lowest one) = 0 meV per atom

# 4
This record from Alexandria via LeMat-Bulk describes a geometry-optimized NiBMoOs2 structure. The functional is PBE.

Cell: 4.699 4.699 4.083 Å, 90.00 90.00 90.00°
Space group P4/mmm (No. 123)
One atom of each set of equivalent atoms:
Ni (0.000, 0.000, 0.000)
B (0.500, 0.500, 0.000)
Mo (0.500, 0.500, 0.500)
Os (0.000, 0.500, 0.500)

Output
Electronic total energy = -34.6 eV per cell

# 5
This record from Alexandria via LeMat-Bulk describes a geometry-optimized Ni2BMoPt structure. The functional is PBE.

Cell: 3.945 3.945 4.105 Å, 90.00 90.00 90.00°
Space group P4/mmm (No. 123)
One atom of each set of equivalent atoms:
Ni (0.000, 0.500, 0.000)
B (0.000, 0.000, 0.000)
Mo (0.500, 0.500, 0.500)
Pt (0.000, 0.000, 0.500)

Output
Electronic total energy = -33.9 eV per cell

# 6
This record from Alexandria via LeMat-Bulk describes a geometry-optimized NiBMoRu2 structure. The functional is PBE.

Cell: 4.620 4.620 4.468 Å, 90.00 90.00 90.00°
Space group P4/mmm (No. 123)
One atom of each set of equivalent atoms:
Ni (0.000, 0.000, 0.000)
B (0.500, 0.500, 0.000)
Mo (0.000, 0.000, 0.500)
Ru (0.000, 0.500, 0.500)

Output
Polymorph energy (0 for the lowest one) = 131 meV per atom

# 7
This record from Alexandria via LeMat-Bulk describes a geometry-optimized NiBMoRu2 structure. The functional is PBE.

Cell: 4.394 4.394 4.380 Å, 90.00 90.00 90.00°
Space group P4/mmm (No. 123)
One atom of each set of equivalent atoms:
Ni (0.000, 0.000, 0.000)
B (0.500, 0.500, 0.500)
Mo (0.000, 0.000, 0.500)
Ru (0.000, 0.500, 0.000)

Output
Polymorph energy (0 for the lowest one) = 0 meV per atom

# 8
This record from Alexandria via LeMat-Bulk describes a geometry-optimized NpB14Mo structure. The functional is PBE.

Cell: 5.864 10.948 8.175 Å, 90.00 90.00 90.00°
Space group Imma (No. 74)
One atom of each set of equivalent atoms:
Np (0.000, 0.250, 0.128)
B (0.000, 0.080, 0.672)
B (0.000, 0.121, 0.873)
B (0.000, 0.168, 0.470)
B (0.160, 0.065, 0.338)
B (0.246, 0.077, 0.548)
Mo (0.250, 0.250, 0.750)

Output
Electronic total energy = -472.5 eV per cell